# 1
12
Lattice="4.709 0.000 0.000 0.000 8.684 0.000 0.000 0.000 7.175" Properties=species:S:1:pos:R:3 comment="PBE SmHo3Rh2, optimized geometry" relative_energy_mev_per_atom=0.0 mass_density_g_cm3=9.631 magmom_total_mub_per_fu=0.00 e_form_ev_per_atom=-0.65 pbc="T T T"
Sm 0.000 0.730 0.000
Sm 0.000 7.954 3.588
Ho 0.000 2.905 4.512
Ho 0.000 5.779 0.924
Ho 2.355 1.486 2.495
Ho 2.355 3.621 6.995
Ho 2.355 5.063 3.407
Ho 2.355 7.198 6.083
Rh 0.000 2.964 1.677
Rh 0.000 5.719 5.265
Rh 2.355 1.433 5.323
Rh 2.355 7.251 1.736



# 2
12
Lattice="2.686 1.551 8.773 -2.686 1.551 8.773 0.000 -3.101 8.773" Properties=species:S:1:pos:R:3 comment="PBE Sm3HoRh8, optimized geometry" mass_density_g_cm3=10.901 magmom_total_mub_per_fu=0.00 e_form_ev_per_atom=-0.71 pbc="T T T"
Sm 0.000 0.000 0.000
Sm 0.000 0.000 3.301
Sm 0.000 0.000 13.179
Ho 0.000 0.000 16.471
Rh -1.345 -0.777 10.414
Rh 0.000 -1.552 6.060
Rh -1.344 0.776 6.060
Rh 0.000 0.000 8.235
Rh 1.345 -0.777 10.414
Rh 0.000 1.554 10.414
Rh 1.344 0.776 6.060
Rh 0.000 0.000 21.398



# 3
12
Lattice="8.057 -2.126 0.000 8.057 2.126 0.000 -4.723 0.000 9.621" Properties=species:S:1:pos:R:3 comment="PBE SmHo3Rh2, optimized geometry" relative_energy_mev_per_atom=68.9 mass_density_g_cm3=8.576 magmom_total_mub_per_fu=0.00 e_form_ev_per_atom=-0.59 pbc="T T T"
Sm -0.111 0.000 2.041
Sm 11.501 0.000 7.581
Ho 0.616 0.000 5.716
Ho 0.749 0.000 9.341
Ho 5.291 0.000 3.195
Ho 6.099 0.000 6.427
Ho 10.641 0.000 0.281
Ho 10.775 0.000 3.906
Rh -1.771 0.000 8.139
Rh 3.412 0.000 5.585
Rh 7.979 0.000 4.036
Rh 13.161 0.000 1.483



# 4
5
Lattice="5.506 0.000 0.000 0.000 5.506 0.000 0.000 0.000 5.506" Properties=species:S:1:pos:R:3 comment="PBE Sm3HoRh, optimized geometry" relative_energy_mev_per_atom=228.9 mass_density_g_cm3=7.151 magmom_total_mub_per_fu=0.22 e_form_ev_per_atom=-0.13 pbc="T T T"
Sm 0.000 0.000 2.753
Sm 0.000 2.753 0.000
Sm 2.753 0.000 0.000
Ho 2.753 2.753 2.753
Rh 0.000 0.000 0.000



# 5
10
Lattice="6.078 -1.898 0.000 6.078 1.898 0.000 -5.954 0.000 12.610" Properties=species:S:1:pos:R:3 comment="PBE Sm3HoRh, optimized geometry" relative_energy_mev_per_atom=0.0 mass_density_g_cm3=8.206 magmom_total_mub_per_fu=0.00 e_form_ev_per_atom=-0.36 pbc="T T T"
Sm 0.000 0.000 0.000
Sm -1.999 0.000 4.520
Sm 1.380 0.000 5.985
Sm 1.015 0.000 9.540
Sm 6.664 0.000 2.989
Sm 4.628 0.000 7.581
Ho -2.352 0.000 10.676
Ho 3.287 0.000 1.513
Rh -3.596 0.000 7.997
Rh 2.348 0.000 12.243



# 6
10
Lattice="6.361 0.000 0.000 0.000 6.356 0.000 -2.685 0.000 6.020" Properties=species:S:1:pos:R:3 comment="PBE SmHo2Rh2, optimized geometry" relative_energy_mev_per_atom=42.9 mass_density_g_cm3=9.360 magmom_total_mub_per_fu=0.00 e_form_ev_per_atom=-0.57 pbc="T T T"
Sm 0.000 0.000 0.000
Sm 3.181 3.178 0.000
Ho -1.343 1.609 3.010
Ho -1.343 4.746 3.010
Ho 1.838 1.568 3.010
Ho 1.838 4.787 3.010
Rh 0.288 3.178 1.278
Rh 0.207 0.000 4.742
Rh 3.469 0.000 1.278
Rh 3.388 3.178 4.742